Dy2Y2Er3Ni2Te2, optimized geometry, DFT PBE-GGA; crystal system = orthorhombic; E_tot = -5.52 eV per atom
1.0
-1.924 7.804 4.785
1.924 -7.804 4.785
1.924 7.804 -4.785
Dy Y Er Ni Te
2 2 3 2 2
Cartesian
0.000 2.054 0.000
0.000 13.554 0.000
1.924 -2.284 3.352
1.924 2.284 3.352
0.000 4.925 1.927
0.000 0.000 5.572
0.000 10.683 1.927
1.924 4.081 0.098
0.000 3.723 4.883
0.000 0.000 2.357
0.000 7.804 3.311

---

Y4CuNiC2, optimized geometry, DFT PBE-GGA; crystal system = hexagonal; E_tot = -6.88 eV per atom
1.0
3.641 0.000 0.000
-1.820 3.153 0.000
0.000 0.000 13.452
Y Cu Ni C
4 1 1 2
Cartesian
0.000 0.000 1.952
0.000 0.000 11.499
1.820 1.051 4.647
1.820 1.051 8.805
0.000 0.000 6.726
1.820 1.051 0.000
0.000 2.102 3.359
0.000 2.102 10.093

---

LuZnCuTe3, optimized geometry, DFT PBE-GGA; crystal system = orthorhombic; E_tot = -3.67 eV per atom
1.0
1.989 -7.029 0.000
1.989 7.029 0.000
0.000 0.000 10.993
Lu Zn Cu Te
2 2 2 6
Cartesian
0.000 0.000 0.000
0.000 0.000 5.496
1.989 3.796 8.245
1.989 -3.796 2.748
1.989 0.291 2.748
1.989 -0.291 8.245
1.989 5.570 2.748
1.989 2.083 0.836
1.989 2.083 4.660
1.989 -2.083 6.333
1.989 -2.083 10.157
1.989 -5.570 8.245

---

Tb2GdCd3Au3, optimized geometry, DFT PBE-GGA; crystal system = orthorhombic; E_form = -6.022 eV/f.u.; E_tot = -3.60 eV per atom
1.0
3.925 0.000 0.000
0.000 6.776 3.908
0.000 -6.776 3.908
Tb Gd Cd Au
2 1 3 3
Cartesian
0.000 -4.041 3.908
0.000 4.041 3.908
0.000 0.000 4.731
1.962 -1.776 2.599
1.962 1.776 2.599
1.962 0.000 7.348
0.000 0.000 1.574
1.962 -2.265 5.488
1.962 2.265 5.488

---

LiHfZrCo, optimized geometry, DFT PBE-GGA; crystal system = cubic; E_tot = -6.93 eV per atom
1.0
0.000 3.208 3.208
3.208 0.000 3.208
3.208 3.208 0.000
Li Hf Zr Co
1 1 1 1
Cartesian
0.000 0.000 0.000
1.604 1.604 1.604
4.812 4.812 4.812
3.208 3.208 3.208

---

Er2LuFe7Co2, optimized geometry, DFT PBE-GGA; crystal system = trigonal; E_form = -1.523 eV/f.u.; E_tot = -7.30 eV per atom
1.0
2.499 1.443 8.079
-2.499 1.443 8.079
0.000 -2.885 8.079
Er Lu Fe Co
2 1 7 2
Cartesian
0.000 0.000 3.439
0.000 0.000 20.798
0.000 0.000 0.000
-1.249 -0.721 10.059
0.000 -1.442 14.178
-1.249 0.721 14.178
0.000 0.000 12.119
1.249 -0.721 10.059
0.000 1.442 10.059
1.249 0.721 14.178
0.000 0.000 8.062
0.000 0.000 16.175

---

PmI2, optimized geometry, DFT PBE-GGA; crystal system = cubic; E_tot = -2.43 eV per atom
1.0
0.000 4.841 4.841
4.841 0.000 4.841
4.841 4.841 0.000
Pm I
2 4
Cartesian
1.210 1.210 1.210
8.472 8.472 8.472
4.841 2.421 2.421
2.421 4.841 2.421
2.421 2.421 4.841
4.841 4.841 4.841

---

HfGaAu2, optimized geometry, DFT PBE-GGA; crystal system = cubic; E_tot = -5.20 eV per atom
1.0
0.000 3.309 3.309
3.309 0.000 3.309
3.309 3.309 0.000
Hf Ga Au
1 1 2
Cartesian
0.000 0.000 0.000
4.963 4.963 4.963
1.654 1.654 1.654
3.309 3.309 3.309

---

PmPtNO, optimized geometry, DFT PBE-GGA; crystal system = tetragonal; E_tot = -7.29 eV per atom
1.0
4.215 0.000 0.000
0.000 4.215 0.000
0.000 0.000 7.293
Pm Pt N O
2 2 2 2
Cartesian
1.054 1.054 1.044
3.161 3.161 6.250
1.054 3.161 3.647
3.161 1.054 3.647
1.054 1.054 3.423
3.161 3.161 3.870
1.054 3.161 0.000
3.161 1.054 0.000

---

La2Tc2N5, optimized geometry, DFT PBE-GGA; crystal system = tetragonal; E_tot = -8.75 eV per atom
1.0
3.968 0.000 0.000
0.000 3.968 0.000
0.000 0.000 7.541
La Tc N
2 2 5
Cartesian
0.000 0.000 0.000
0.000 0.000 3.771
1.984 1.984 1.871
1.984 1.984 5.670
0.000 1.984 1.684
0.000 1.984 5.857
1.984 0.000 1.684
1.984 0.000 5.857
1.984 1.984 3.771

---

CsOsPt, optimized geometry, DFT PBE-GGA; crystal system = cubic; E_tot = -4.19 eV per atom
1.0
0.000 3.339 3.339
3.339 0.000 3.339
3.339 3.339 0.000
Cs Os Pt
1 1 1
Cartesian
0.000 0.000 0.000
1.669 1.669 1.669
3.339 3.339 3.339

---

CsPr3CI6, optimized geometry, DFT PBE-GGA; crystal system = triclinic; E_tot = -4.39 eV per atom
1.0
9.669 0.000 0.000
0.099 9.738 0.000
0.969 3.346 9.701
Cs Pr C I
2 6 2 12
Cartesian
0.504 1.849 1.664
10.232 11.235 8.037
2.933 7.355 4.874
4.556 4.114 4.904
5.417 6.564 7.892
5.319 6.519 1.810
6.180 8.970 4.798
7.803 5.729 4.827
5.379 6.551 5.553
5.357 6.533 4.149
1.413 4.546 4.811
2.437 7.687 8.060
2.333 7.642 1.707
3.395 10.521 4.858
4.156 3.652 8.067
4.273 3.466 1.704
6.463 9.618 7.998
6.580 9.432 1.634
7.341 2.563 4.844
8.403 5.442 7.995
8.299 5.397 1.641
9.323 8.537 4.891

---

LiCdCuBi, optimized geometry, DFT PBE-GGA; crystal system = cubic; E_tot = -2.71 eV per atom
1.0
0.000 3.385 3.385
3.385 0.000 3.385
3.385 3.385 0.000
Li Cd Cu Bi
1 1 1 1
Cartesian
0.000 0.000 0.000
5.078 5.078 5.078
3.385 3.385 3.385
1.693 1.693 1.693

---

GdNbSi, optimized geometry, DFT PBE-GGA; crystal system = cubic; E_tot = -6.78 eV per atom
1.0
0.000 3.239 3.239
3.239 0.000 3.239
3.239 3.239 0.000
Gd Nb Si
1 1 1
Cartesian
0.000 0.000 0.000
3.239 3.239 3.239
1.619 1.619 1.619

---

BaMgTlAu, optimized geometry, DFT PBE-GGA; crystal system = cubic; E_tot = -2.47 eV per atom
1.0
0.000 3.779 3.779
3.779 0.000 3.779
3.779 3.779 0.000
Ba Mg Tl Au
1 1 1 1
Cartesian
0.000 0.000 0.000
1.889 1.889 1.889
5.668 5.668 5.668
3.779 3.779 3.779

---

Y8Ni2C3N3, optimized geometry, DFT PBE-GGA; crystal system = trigonal; E_tot = -7.89 eV per atom
1.0
3.528 0.000 0.000
-1.764 3.055 0.000
0.000 0.000 25.054
Y Ni C N
8 2 3 3
Cartesian
0.000 0.000 4.175
0.000 0.000 8.179
0.000 0.000 16.875
0.000 0.000 20.878
0.000 2.037 14.028
0.000 2.037 23.667
1.764 1.018 1.387
1.764 1.018 11.025
0.000 2.037 18.956
1.764 1.018 6.098
0.000 0.000 12.527
0.000 2.037 9.446
1.764 1.018 15.607
0.000 0.000 0.000
0.000 2.037 2.846
1.764 1.018 22.208

---

ZrAl, optimized geometry, DFT PBE-GGA; crystal system = monoclinic; E_tot = -6.51 eV per atom
1.0
7.435 0.000 0.000
0.000 4.291 0.000
-2.307 0.000 7.406
Zr Al
6 6
Cartesian
-0.272 1.073 1.141
2.033 3.218 1.458
0.861 3.218 5.198
4.267 1.073 2.208
3.096 1.073 5.948
5.400 3.218 6.265
-1.198 1.073 4.483
0.112 1.073 7.001
1.622 1.073 3.423
3.506 3.218 3.983
5.016 3.218 0.405
6.326 3.218 2.923

---

PaClO2, optimized geometry, DFT PBE-GGA; crystal system = orthorhombic; E_tot = -7.65 eV per atom
1.0
2.752 -4.657 0.000
2.752 4.657 0.000
0.000 0.000 3.442
Pa Cl O
1 1 2
Cartesian
0.000 0.000 0.000
2.752 0.000 0.000
2.752 3.385 1.721
2.752 -3.385 1.721

---

GdLuSc2Sb2, optimized geometry, DFT PBE-GGA; crystal system = tetragonal; E_tot = -5.81 eV per atom
1.0
-2.167 2.167 8.111
2.167 -2.167 8.111
2.167 2.167 -8.111
Gd Lu Sc Sb
1 1 2 2
Cartesian
0.000 0.000 0.000
0.000 0.000 5.710
2.167 0.000 2.880
0.000 2.167 2.880
0.000 0.000 8.841
0.000 0.000 13.115

---

PmTmAl, optimized geometry, DFT PBE-GGA; crystal system = cubic; E_tot = -3.83 eV per atom
1.0
0.000 3.577 3.577
3.577 0.000 3.577
3.577 3.577 0.000
Pm Tm Al
1 1 1
Cartesian
0.000 0.000 0.000
5.365 5.365 5.365
3.577 3.577 3.577

---

NaLiNiMo, optimized geometry, DFT PBE-GGA; crystal system = cubic; E_tot = -4.17 eV per atom
1.0
0.000 3.055 3.055
3.055 0.000 3.055
3.055 3.055 0.000
Na Li Ni Mo
1 1 1 1
Cartesian
0.000 0.000 0.000
1.528 1.528 1.528
3.055 3.055 3.055
4.583 4.583 4.583

---

PrTlCd, optimized geometry, DFT PBE-GGA; crystal system = hexagonal; E_tot = -3.02 eV per atom
1.0
5.381 0.000 0.000
-2.691 4.660 0.000
0.000 0.000 6.585
Pr Tl Cd
2 2 2
Cartesian
0.000 3.107 1.646
2.691 1.553 4.938
0.000 3.107 4.938
2.691 1.553 1.646
0.000 0.000 0.000
0.000 0.000 3.292

---

RbHoO3, optimized geometry, DFT PBE-GGA; crystal system = trigonal; E_tot = -5.97 eV per atom
1.0
3.158 1.823 5.071
-3.158 1.823 5.071
0.000 -3.646 5.071
Rb Ho O
2 2 6
Cartesian
0.000 0.000 3.803
0.000 0.000 11.410
0.000 0.000 0.000
0.000 0.000 7.607
-1.604 0.869 6.339
-1.554 -0.954 8.875
0.049 -1.823 6.339
-0.049 1.823 8.875
1.554 0.954 6.339
1.604 -0.869 8.875

---

ThTlSn, optimized geometry, DFT PBE-GGA; crystal system = cubic; E_tot = -4.51 eV per atom
1.0
0.000 3.723 3.723
3.723 0.000 3.723
3.723 3.723 0.000
Th Tl Sn
1 1 1
Cartesian
0.000 0.000 0.000
5.584 5.584 5.584
1.861 1.861 1.861

---

ZrSbMo2, optimized geometry, DFT PBE-GGA; crystal system = cubic; E_tot = -8.44 eV per atom
1.0
0.000 3.322 3.322
3.322 0.000 3.322
3.322 3.322 0.000
Zr Sb Mo
1 1 2
Cartesian
0.000 0.000 0.000
4.984 4.984 4.984
1.661 1.661 1.661
3.322 3.322 3.322